[1]
VASP calculation (GGA-PBE) on crystalline PrDy2Er2 at its relaxed geometry.

Calculated values
The calculated total energy comes out at -45.408 eV/cell. For the volume, the calculation gives 326.6 Å³/cell. The value obtained for the formation energy is 0.08 eV per atom. For the energy above the most stable polymorph in this dataset, the calculation gives 0.000 eV per formula unit.

```
PrDy2Er2
1.0
9.381 0.000 0.000
0.000 9.381 0.000
0.000 0.000 3.711
Er Pr Dy
4 2 4
Direct
0.171 0.329 0.500
0.671 0.171 0.500
0.829 0.671 0.500
0.329 0.829 0.500
0.000 0.000 0.000
0.500 0.500 0.000
0.375 0.125 0.000
0.625 0.875 0.000
0.875 0.375 0.000
0.125 0.625 0.000
```

***

[2]
VASP calculation (GGA-PBE) on crystalline Pr5Dy2Er5 at its relaxed geometry.

Calculated values
The calculated total energy comes out at -55.668 eV/cell. For the volume, the calculation gives 395.4 Å³/cell. The value obtained for the formation energy is 0.02 eV per atom.

```
Pr5Dy2Er5
1.0
4.951 0.000 1.117
2.647 10.468 -0.204
0.816 -1.294 7.913
Pr Er Dy
5 5 2
Direct
0.998 0.251 0.753
0.000 0.000 0.000
0.333 0.749 0.586
0.002 0.749 0.247
0.667 0.251 0.414
0.668 0.747 0.916
0.000 0.500 0.500
0.332 0.253 0.084
0.333 0.000 0.334
0.667 0.000 0.666
0.332 0.501 0.834
0.668 0.499 0.166
```